## Sm2Dy3Ag2 (GGA-PBE)

Data for a relaxed Sm2Dy3Ag2 crystal.

Computed properties:
ΔH_f (0 K)   -110 meV/atom
Offset from the most stable computed form   0.0000 eV per atom
E   -0.1560 Ha/atom
Spin magnetization   0.000 μB per cell
Symmetry   Cmmm

a b c (Å): 15.641 15.641 3.587
angles (deg): 90.00 90.00 166.86
Fractional coordinates of all 7 atoms:
Sm (0.201, 0.799, 0.000)
Sm (0.799, 0.201, 0.000)
Dy (0.381, 0.619, 0.500)
Dy (0.500, 0.500, 0.500)
Dy (0.619, 0.381, 0.500)
Ag (0.059, 0.941, 0.000)
Ag (0.941, 0.059, 0.000)